# 1
Cr2ReSi | GGA-PBEsol | optimized geometry

The structure in POSCAR format:
```
Cr2ReSi
1.0
2.6243 0.0000 0.0000
0.0000 3.9784 0.0000
-1.1855 0.0000 4.6876
Cr Re Si
2 1 1
Direct
0.0000 0.0000 0.0000 Cr
0.1937 0.5000 0.7567 Cr
0.7383 0.5000 0.2595 Re
0.4311 0.0000 0.5202 Si
```

Values from the calculation:
N(E_F)   3.07 states/eV per cell
ΔE_f (raw)   -69 meV/atom
Space-group type   Pm
M_tot   0.0 μB/f.u.


# 2
CrReSi2 | GGA-PBEsol | optimized geometry

The structure in POSCAR format:
```
CrReSi2
1.0
3.0469 0.0000 0.0000
0.0000 3.0469 0.0000
0.0000 0.0000 5.3360
Cr Re Si
1 1 2
Direct
0.0000 0.0000 0.0000 Cr
0.5000 0.5000 0.3067 Re
0.0000 0.0000 0.5371 Si
0.5000 0.5000 0.7976 Si
```

Values from the calculation:
N(E_F)   1.47 states/eV per cell
ΔE_f (raw)   -383 meV/atom
Space-group type   P4mm
M_tot   0.0 μB/f.u.